No. 1
VASP calculation (GGA-PBE) on a geometry-optimized LiEuMgRh structure.

a b c (Å): 4.8594 4.8594 4.8594
angles (deg): 60.00 60.00 60.00
Closest atoms and distances in Å follow each position.
Element x y z (fractional)
Rh: 0.5000 0.5000 0.5000  4 Eu 2.98, 4 Mg 2.98
Li: 0.0000 0.0000 0.0000  4 Mg 2.98, 4 Eu 2.98
Mg: 0.2500 0.2500 0.2500  4 Li 2.98, 4 Rh 2.98
Eu: 0.7500 0.7500 0.7500  4 Li 2.98, 4 Rh 2.98

Computed properties:
Total energy, eV per cell: -22.13
M_tot, μB per cell: 7.11
Energy of formation, eV per atom: -0.249

***

No. 2
VASP calculation (GGA-PBE) on a geometry-optimized LiEuMgSc structure.

a b c (Å): 5.3345 5.3345 5.3345
angles (deg): 60.00 60.00 60.00
Closest atoms and distances in Å follow each position.
Element x y z (fractional)
Sc: 0.2500 0.2500 0.2500  4 Mg 3.27, 4 Li 3.27
Li: 0.0000 0.0000 0.0000  4 Sc 3.27, 4 Eu 3.27
Mg: 0.5000 0.5000 0.5000  4 Eu 3.27, 4 Sc 3.27
Eu: 0.7500 0.7500 0.7500  4 Mg 3.27, 4 Li 3.27

Computed properties:
Total energy, eV per cell: -19.68
M_tot, μB per cell: 7.56
Energy of formation, eV per atom: 0.108

***

No. 3
VASP calculation (GGA-PBE) on a geometry-optimized LiSmEuMg structure.

a b c (Å): 5.5369 5.5369 5.5369
angles (deg): 60.00 60.00 60.00
Closest atoms and distances in Å follow each position.
Element x y z (fractional)
Mg: 0.5000 0.5000 0.5000  4 Eu 3.39, 4 Sm 3.39
Li: 0.0000 0.0000 0.0000  4 Sm 3.39, 4 Eu 3.39
Sm: 0.2500 0.2500 0.2500  4 Li 3.39, 4 Mg 3.39
Eu: 0.7500 0.7500 0.7500  4 Li 3.39, 4 Mg 3.39

Computed properties:
Total energy, eV per cell: -18.36
M_tot, μB per cell: 7.55
Energy of formation, eV per atom: 0.037

***

No. 4
VASP calculation (GGA-PBE) on a geometry-optimized LiEuMgSn structure.

a b c (Å): 5.2016 5.2016 5.2016
angles (deg): 60.00 60.00 60.00
Closest atoms and distances in Å follow each position.
Element x y z (fractional)
Eu: 0.7500 0.7500 0.7500  4 Sn 3.19, 4 Li 3.19
Li: 0.5000 0.5000 0.5000  4 Eu 3.19, 4 Mg 3.19
Sn: 0.0000 0.0000 0.0000  4 Mg 3.19, 4 Eu 3.19
Mg: 0.2500 0.2500 0.2500  4 Li 3.19, 4 Sn 3.19

Computed properties:
Total energy, eV per cell: -19.17
M_tot, μB per cell: 7.38
Energy of formation, eV per atom: -0.346

***

No. 5
VASP calculation (GGA-PBE) on a geometry-optimized LiEuMgTl structure.

a b c (Å): 5.2355 5.2355 5.2355
angles (deg): 60.00 60.00 60.00
Closest atoms and distances in Å follow each position.
Element x y z (fractional)
Li: 0.0000 0.0000 0.0000  4 Mg 3.21, 4 Eu 3.21
Mg: 0.2500 0.2500 0.2500  4 Tl 3.21, 4 Li 3.21
Eu: 0.7500 0.7500 0.7500  4 Li 3.21, 4 Tl 3.21
Tl: 0.5000 0.5000 0.5000  4 Eu 3.21, 4 Mg 3.21

Computed properties:
Total energy, eV per cell: -17.10
M_tot, μB per cell: 7.00
Energy of formation, eV per atom: -0.238

***

No. 6
VASP calculation (GGA-PBE) on a geometry-optimized LiEuTmMg structure.

a b c (Å): 5.4500 5.4500 5.4500
angles (deg): 60.00 60.00 60.00
Closest atoms and distances in Å follow each position.
Element x y z (fractional)
Li: 0.5000 0.5000 0.5000  4 Eu 3.34, 4 Tm 3.34
Mg: 0.0000 0.0000 0.0000  4 Tm 3.34, 4 Eu 3.34
Tm: 0.7500 0.7500 0.7500  4 Li 3.34, 4 Mg 3.34
Eu: 0.2500 0.2500 0.2500  4 Mg 3.34, 4 Li 3.34

Computed properties:
Total energy, eV per cell: -18.00
M_tot, μB per cell: 7.43
Energy of formation, eV per atom: 0.064

***

No. 7
VASP calculation (GGA-PBE) on a geometry-optimized LiPmEuMn structure.

a b c (Å): 5.2556 5.2556 5.2556
angles (deg): 60.00 60.00 60.00
Closest atoms and distances in Å follow each position.
Element x y z (fractional)
Li: 0.7500 0.7500 0.7500  4 Pm 3.22, 4 Eu 3.22
Pm: 0.0000 0.0000 0.0000  4 Mn 3.22, 4 Li 3.22
Eu: 0.5000 0.5000 0.5000  4 Li 3.22, 4 Mn 3.22
Mn: 0.2500 0.2500 0.2500  4 Eu 3.22, 4 Pm 3.22

Computed properties:
Total energy, eV per cell: -25.09
M_tot, μB per cell: 9.85
Energy of formation, eV per atom: 0.255

***

No. 8
VASP calculation (GGA-PBE) on a geometry-optimized LiEuN structure.

a b c (Å): 4.0453 4.0453 4.0453
angles (deg): 60.00 60.00 60.00
Closest atoms and distances in Å follow each position.
Element x y z (fractional)
Li: 0.0000 0.0000 0.0000  4 N 2.48
N: 0.2500 0.2500 0.2500  4 Li 2.48, 4 Eu 2.48
Eu: 0.5000 0.5000 0.5000  4 N 2.48

Computed properties:
Total energy, eV per cell: -22.23
M_tot, μB per cell: 7.00

***

No. 9
VASP calculation (GGA-PBE) on a geometry-optimized LiEuN structure.

a b c (Å): 5.0111 3.5634 3.5634
angles (deg): 120.00 90.00 90.00
Closest atoms and distances in Å follow each position.
Element x y z (fractional)
Eu: 0.7873 0.6667 0.3333  3 N 2.36
N: 0.0196 0.0000 0.0000  3 Li 2.23, 3 Eu 2.36
Li: 0.1930 0.3333 0.6667  3 N 2.23

Computed properties:
Total energy, eV per cell: -21.98
M_tot, μB per cell: 6.95

***

No. 10
VASP calculation (GGA-PBE) on a geometry-optimized LiEuN structure.

a b c (Å): 3.6748 3.6748 4.2382
angles (deg): 115.69 115.69 90.00
Closest atoms and distances in Å follow each position.
Element x y z (fractional)
Eu: 0.9491 0.9491 0.8981  1 Li 2.39, 1 N 2.41
Li: 0.5927 0.5927 0.1854  1 N 1.90
N: 0.3082 0.3082 0.6165  1 Li 1.90

Computed properties:
Total energy, eV per cell: -20.86
M_tot, μB per cell: 7.00

***

No. 11
VASP calculation (GGA-PBE) on a geometry-optimized Li2EuN structure.

a b c (Å): 3.5548 3.5548 5.6177
angles (deg): 71.55 71.55 60.00
Closest atoms and distances in Å follow each position.
Element x y z (fractional)
Eu: 0.0000 0.0000 0.0000  8 Li 2.98-3.04, 6 N 3.32
N: 0.5000 0.5000 0.5000  6 Li 2.09
Li: 0.1902 0.1902 0.4295  3 N 2.09, 3 Li 2.18
Li: 0.8098 0.8098 0.5705  3 N 2.09, 3 Li 2.18

Computed properties:
Total energy, eV per cell: -22.90
M_tot, μB per cell: 7.87

***

No. 12
VASP calculation (GGA-PBE) on a geometry-optimized NaLiEu2 structure.

a b c (Å): 5.9446 5.9446 5.9446
angles (deg): 60.00 60.00 60.00
Closest atoms and distances in Å follow each position.
Element x y z (fractional)
Li: 0.5000 0.5000 0.5000  8 Eu 3.64
Eu: 0.7500 0.7500 0.7500  4 Li 3.64, 4 Na 3.64
Eu: 0.2500 0.2500 0.2500  4 Li 3.64, 4 Na 3.64
Na: 0.0000 0.0000 0.0000  8 Eu 3.64

Computed properties:
Excess energy over the best structure of this formula in the dataset, eV per atom: 0.019
Total energy, eV per cell: -23.37
M_tot, μB per cell: 15.08
Energy of formation, eV per atom: 0.103

***

No. 13
VASP calculation (GGA-PBE) on a geometry-optimized Na2LiEu structure.

a b c (Å): 5.8860 5.8860 5.8860
angles (deg): 60.00 60.00 60.00
Closest atoms and distances in Å follow each position.
Element x y z (fractional)
Li: 0.5000 0.5000 0.5000  8 Na 3.60
Eu: 0.0000 0.0000 0.0000  8 Na 3.60
Na: 0.7500 0.7500 0.7500  4 Eu 3.60, 4 Li 3.60
Na: 0.2500 0.2500 0.2500  4 Li 3.60, 4 Eu 3.60

Computed properties:
Excess energy over the best structure of this formula in the dataset, eV per atom: 0.058
Total energy, eV per cell: -14.21
M_tot, μB per cell: 7.40
Energy of formation, eV per atom: 0.153

***

No. 14
VASP calculation (GGA-PBE) on a geometry-optimized NaLiEu2 structure.

a b c (Å): 4.1468 5.9779 5.9779
angles (deg): 90.00 90.00 90.00
Closest atoms and distances in Å follow each position.
Element x y z (fractional)
Na: 0.5000 0.0000 0.0000  8 Eu 3.64
Li: 0.5000 0.5000 0.5000  8 Eu 3.64
Eu: 0.0000 0.0000 0.5000  4 Na 3.64, 4 Li 3.64
Eu: 0.0000 0.5000 0.0000  4 Li 3.64, 4 Na 3.64

Computed properties:
Excess energy over the best structure of this formula in the dataset, eV per atom: 0.020
Total energy, eV per cell: -23.37
M_tot, μB per cell: 15.21
Energy of formation, eV per atom: 0.104

***

No. 15
VASP calculation (GGA-PBE) on a geometry-optimized Na2LiEu structure.

a b c (Å): 3.8609 3.8609 9.3848
angles (deg): 90.00 90.00 90.00
Closest atoms and distances in Å follow each position.
Element x y z (fractional)
Li: 0.5000 0.5000 0.0000  8 Na 3.34
Na: 0.0000 0.0000 0.2047  4 Li 3.34
Na: 0.0000 0.0000 0.7953  4 Li 3.34
Eu: 0.5000 0.5000 0.5000  4 Eu 3.86, 8 Na 3.89

Computed properties:
Excess energy over the best structure of this formula in the dataset, eV per atom: 0.000
Total energy, eV per cell: -14.45
M_tot, μB per cell: 7.38
Energy of formation, eV per atom: 0.095